VASP calculation (GGA+U) on a relaxed Li2CoSiO4 crystal.

Summary:
Symmetry = Pnma
N(E_F) = 0.00 states/eV/f.u.
Crystal system = orthorhombic
Magnetization = 3.00 μB/f.u.
Relative energy among the computed polymorphs = 13.3 meV/atom

abc: 5.121 6.197 10.953
angles: 90.00 90.00 90.00
Each line ends with the local moment (μB).
Element x y z (fractional)
Li 0.202 0.995 0.668  0.00
Li 0.298 0.995 0.168  0.00
Li 0.202 0.505 0.668  0.00
Li 0.298 0.505 0.168  0.00
Li 0.702 0.495 0.832  0.00
Li 0.798 0.495 0.332  0.00
Li 0.798 0.005 0.332  0.00
Li 0.702 0.005 0.832  0.00
Co 0.807 0.250 0.575  2.69
Co 0.693 0.250 0.075  2.69
Co 0.307 0.750 0.925  2.69
Co 0.193 0.750 0.425  2.69
Si 0.191 0.250 0.914  0.01
Si 0.309 0.250 0.414  0.01
Si 0.691 0.750 0.586  0.01
Si 0.809 0.750 0.086  0.01
O 0.298 0.034 0.840  0.04
O 0.202 0.034 0.340  0.04
O 0.868 0.250 0.914  0.05
O 0.203 0.250 0.556  0.05
O 0.297 0.250 0.056  0.05
O 0.632 0.250 0.414  0.05
O 0.298 0.466 0.840  0.04
O 0.202 0.466 0.340  0.04
O 0.702 0.534 0.160  0.04
O 0.798 0.534 0.660  0.04
O 0.703 0.750 0.944  0.05
O 0.368 0.750 0.586  0.05
O 0.797 0.750 0.444  0.05
O 0.132 0.750 0.086  0.05
O 0.798 0.966 0.660  0.04
O 0.702 0.966 0.160  0.04